Record 1
Density functional theory data (PBE-GGA) for Ho3ErTm2Sb2Os after structural relaxation.

Unit cell a=4.187 b=8.127 c=8.127 alpha=119.91 beta=90.00 gamma=90.00
Fractional coordinates of all 9 atoms:
Ho: 0.000 0.000 0.000
Ho: 0.000 0.523 0.761
Ho: 0.000 0.761 0.523
Er: 0.500 0.370 0.370
Tm: 0.500 0.152 0.761
Tm: 0.500 0.761 0.152
Sb: 0.000 0.094 0.428
Sb: 0.000 0.428 0.094
Os: 0.500 0.763 0.763

Summary:
The total energy comes out at -5.84 eV per atom. For the volume, the calculation gives 239.72 Å³ per cell.

=====

Record 2
Density functional theory data (PBE-GGA) for HoEr2Tm3Sb2Os after structural relaxation.

Unit cell a=4.197 b=8.090 c=8.090 alpha=119.95 beta=90.00 gamma=90.00
Fractional coordinates of all 9 atoms:
Ho: 0.000 0.000 0.000
Er: 0.000 0.391 0.782
Er: 0.000 0.782 0.391
Tm: 0.500 0.156 0.392
Tm: 0.500 0.392 0.156
Tm: 0.500 0.628 0.628
Sb: 0.500 0.058 0.725
Sb: 0.500 0.725 0.058
Os: 0.000 0.393 0.393

Summary:
The total energy comes out at -5.87 eV per atom. For the volume, the calculation gives 237.98 Å³ per cell.

=====

Record 3
Density functional theory data (PBE-GGA) for Y2Ho3ErSb2Os after structural relaxation.

Unit cell a=4.202 b=8.167 c=8.167 alpha=120.17 beta=90.00 gamma=90.00
Fractional coordinates of all 9 atoms:
Y: 0.000 0.198 0.802
Y: 0.000 0.802 0.198
Ho: 0.500 0.038 0.038
Ho: 0.500 0.565 0.802
Ho: 0.500 0.802 0.565
Er: 0.000 0.409 0.409
Sb: 0.500 0.136 0.469
Sb: 0.500 0.469 0.136
Os: 0.000 0.799 0.799

Summary:
The total energy comes out at -6.31 eV per atom. For the volume, the calculation gives 242.34 Å³ per cell.

=====

Record 4
Density functional theory data (PBE-GGA) for HoErSi2Os after structural relaxation.

Unit cell a=5.701 b=5.701 c=9.938 alpha=116.59 beta=116.59 gamma=43.34
Fractional coordinates of all 10 atoms:
Ho: 0.186 0.186 0.111
Ho: 0.814 0.814 0.889
Er: 0.008 0.008 0.678
Er: 0.992 0.992 0.322
Si: 0.357 0.357 0.440
Si: 0.496 0.496 0.124
Si: 0.504 0.504 0.876
Si: 0.643 0.643 0.560
Os: 0.270 0.270 0.627
Os: 0.730 0.730 0.373

Summary:
The total energy comes out at -7.05 eV per atom. For the volume, the calculation gives 194.23 Å³ per cell. The polymorph energy (0 for the lowest one) comes out at 0.0 meV/atom.

=====

Record 5
Density functional theory data (PBE-GGA) for HoErSi2Os after structural relaxation.

Unit cell a=5.705 b=5.705 c=9.940 alpha=116.63 beta=116.63 gamma=43.31
Fractional coordinates of all 10 atoms:
Ho: 0.008 0.008 0.179
Ho: 0.992 0.992 0.821
Er: 0.185 0.185 0.611
Er: 0.815 0.815 0.389
Si: 0.357 0.357 0.940
Si: 0.496 0.496 0.624
Si: 0.504 0.504 0.376
Si: 0.643 0.643 0.060
Os: 0.270 0.270 0.127
Os: 0.730 0.730 0.873

Summary:
The total energy comes out at -7.05 eV per atom. For the volume, the calculation gives 194.41 Å³ per cell. The polymorph energy (0 for the lowest one) comes out at 4.4 meV/atom.

=====

Record 6
Density functional theory data (PBE-GGA) for Ho3Er3Te2Os after structural relaxation.

Unit cell a=8.246 b=8.246 c=4.036 alpha=90.00 beta=90.00 gamma=120.00
Fractional coordinates of all 9 atoms:
Ho: 0.000 0.240 0.000
Ho: 0.240 0.000 0.000
Ho: 0.760 0.760 0.000
Er: 0.000 0.612 0.500
Er: 0.388 0.388 0.500
Er: 0.612 0.000 0.500
Te: 0.333 0.667 0.000
Te: 0.667 0.333 0.000
Os: 0.000 0.000 0.500

Summary:
The total energy comes out at -5.70 eV per atom. For the volume, the calculation gives 237.66 Å³ per cell. The polymorph energy (0 for the lowest one) comes out at 18.5 meV/atom.

=====

Record 7
Density functional theory data (PBE-GGA) for Ho3Er3Te2Os after structural relaxation.

Unit cell a=8.239 b=8.239 c=4.036 alpha=90.00 beta=90.00 gamma=120.00
Fractional coordinates of all 9 atoms:
Ho: 0.000 0.612 0.000
Ho: 0.388 0.388 0.000
Ho: 0.612 0.000 0.000
Er: 0.000 0.240 0.500
Er: 0.240 0.000 0.500
Er: 0.760 0.760 0.500
Te: 0.333 0.667 0.500
Te: 0.667 0.333 0.500
Os: 0.000 0.000 0.000

Summary:
The total energy comes out at -5.72 eV per atom. For the volume, the calculation gives 237.25 Å³ per cell. The polymorph energy (0 for the lowest one) comes out at 0.0 meV/atom.

=====

Record 8
Density functional theory data (PBE-GGA) for HoEr3P4 after structural relaxation.

Unit cell a=7.940 b=11.230 c=3.971 alpha=90.00 beta=90.00 gamma=90.00
Fractional coordinates of all 16 atoms:
Ho: 0.000 0.000 0.000
Ho: 0.500 0.500 0.000
Er: 0.000 0.500 0.000
Er: 0.250 0.250 0.500
Er: 0.250 0.750 0.500
Er: 0.500 0.000 0.000
Er: 0.750 0.250 0.500
Er: 0.750 0.750 0.500
P: 0.000 0.250 0.000
P: 0.000 0.750 0.000
P: 0.249 0.500 0.500
P: 0.251 0.000 0.500
P: 0.500 0.250 0.000
P: 0.500 0.750 0.000
P: 0.749 0.000 0.500
P: 0.751 0.500 0.500

Summary:
The total energy comes out at -6.60 eV per atom. For the volume, the calculation gives 354.11 Å³ per cell.

=====

Question: What is the total energy in the second record?
Answer: -5.87 eV per atom